CsMnZnO3 after structural relaxation. Source: the Alexandria database, functional GGA+U.

- Electronic total energy: -0.1992 hartree per atom

The structure in CIF format:
```
data_CsMnZnO3
_cell_length_a 7.448
_cell_length_b 3.493
_cell_length_c 8.456
_cell_angle_alpha 90.00
_cell_angle_beta 104.86
_cell_angle_gamma 90.00
_symmetry_space_group_name_H-M 'P 1'
_symmetry_Int_Tables_number 1
_symmetry_space_group_name_Hall 'P 1'
loop_
_atom_site_label
_atom_site_type_symbol
_atom_site_fract_x
_atom_site_fract_y
_atom_site_fract_z
_atom_site_occupancy
Cs1 Cs 0.057 0.250 0.289 1
Cs2 Cs 0.943 0.750 0.711 1
Mn1 Mn 0.449 0.750 0.630 1
Mn2 Mn 0.551 0.250 0.370 1
Zn1 Zn 0.410 0.250 0.882 1
Zn2 Zn 0.590 0.750 0.118 1
O1 O 0.264 0.250 0.661 1
O2 O 0.382 0.750 0.400 1
O3 O 0.442 0.250 0.123 1
O4 O 0.558 0.750 0.877 1
O5 O 0.618 0.250 0.600 1
O6 O 0.736 0.750 0.339 1
```